This record from Alexandria describes MgPt3 after structural relaxation. The functional is PBEsol.

Properties
The formation energy from the elements comes out at -0.464 eV/atom. The value obtained for the calculated total energy is -6.1156 eV/atom. The calculation puts the theoretical density at 16.7 g/cm³. The symmetry is No. 63.

abc: 5.4888 5.4888 4.6270
angles: 90.00 90.00 119.57
Closest atoms and distances in Å follow each position.
Sites, in units of the cell vectors:
1 Mg 0.0910 0.9090 0.7500  10 Pt 2.70-2.79, 2 Mg 2.89
2 Mg 0.9090 0.0910 0.2500  10 Pt 2.70-2.79, 2 Mg 2.89
3 Pt 0.0905 0.4175 0.7500  4 Mg 2.70-2.79, 8 Pt 2.72-2.84
4 Pt 0.4144 0.5856 0.2500  10 Pt 2.73-2.83, 2 Mg 2.76
5 Pt 0.4175 0.0905 0.2500  4 Mg 2.70-2.79, 8 Pt 2.72-2.84
6 Pt 0.5825 0.9095 0.7500  4 Mg 2.70-2.79, 8 Pt 2.72-2.84
7 Pt 0.5856 0.4144 0.7500  10 Pt 2.73-2.83, 2 Mg 2.76
8 Pt 0.9095 0.5825 0.2500  4 Mg 2.70-2.79, 8 Pt 2.72-2.84